PBE-GGA Ta2FeCo2, relaxed; formation enthalpy at 0 K = -0.111 eV per formula unit; mass density = 12981 kg/m3; symmetry = No. 127; final energy = -9.30 eV per atom; magnetic moment = 0.0 μB per cell
1.0
-5.663 -1.841 -2.218
2.853 -4.278 -3.733
-0.220 -2.309 2.478
Ta Fe Co
4 2 4
Direct
0.821 0.321 0.500
0.179 0.679 0.500
0.679 0.821 0.500
0.321 0.179 0.500
0.500 0.500 0.000
0.000 0.000 0.000
0.627 0.127 0.000
0.373 0.873 0.000
0.873 0.627 0.000
0.127 0.373 0.000